{
  "formula": "Li2Fe3BiO8",
  "functional": "PBE+U",
  "state": "optimized geometry",
  "cell": [[-0.898, 2.485, -5.467], [-5.612, 0.352, -2.290], [-2.782, 5.598, -0.370]],
  "species": ["Li", "Li", "Fe", "Fe", "Fe", "Bi", "O", "O", "O", "O", "O", "O", "O", "O"],
  "frac_coords": [[0.869, 0.869, 0.392], [0.131, 0.131, 0.608], [0.500, 0.000, 0.000], [0.000, 0.500, 0.000], [0.500, 0.500, 0.000], [0.500, 0.500, 0.500], [0.267, 0.267, 0.200], [0.733, 0.733, 0.800], [0.277, 0.745, 0.233], [0.745, 0.277, 0.233], [0.745, 0.745, 0.233], [0.255, 0.255, 0.767], [0.255, 0.723, 0.767], [0.723, 0.255, 0.767]],
  "crystal_system": "trigonal",
  "e_tot_ev_per_atom": -6.047,
  "n_ef_per_ev_cell": 1.58,
  "mass_density_g_cm3": 5.2
}